Below is a relaxed structure of USbIO4, with properties calculated at the PBE level.

Cell: 7.3835 7.3835 7.5462 Å, 69.77 69.77 58.25°
With the nearest neighbours (Å) after each atom.
Sites, in units of the cell vectors:
O 0.5596 0.5596 0.0944  2 U 2.12-2.16
O 0.5269 0.9289 0.7665  1 U 1.98, 1 Sb 2.17
O 0.3512 0.3512 0.5068  1 Sb 1.99, 1 U 2.07
O 0.4404 0.4404 0.9056  2 U 2.12-2.16
O 0.0711 0.4731 0.2335  1 U 1.98, 1 Sb 2.17
O 0.4731 0.0711 0.2335  1 U 1.98, 1 Sb 2.17
O 0.6488 0.6488 0.4932  1 Sb 1.99, 1 U 2.07
O 0.9289 0.5269 0.7665  1 U 1.98, 1 Sb 2.17
Sb 0.2473 0.2473 0.7845  3 O 1.99-2.17
Sb 0.7527 0.7527 0.2155  3 O 1.99-2.17
I 0.9586 0.9586 0.2846  1 Sb 2.90
I 0.0414 0.0414 0.7154  1 Sb 2.90
U 0.3804 0.3804 0.2164  5 O 1.98-2.16
U 0.6196 0.6196 0.7836  5 O 1.98-2.16

Output
E_form (uncorrected): -1948 meV per atom
SG: C2/m, No. 12